No. 1
DFT (PBE-GGA) results for an optimized crystal structure of Zn2SiO4.

POSCAR file:
```
Zn2SiO4
1.0
-3.7139 -0.6153 -7.9008
-3.2907 -6.3696 5.0194
-2.3678 7.6675 3.4925
O Zn Si
24 12 6
direct
0.4010 0.7335 0.6877
0.2488 0.5722 0.9336
0.7335 0.6877 0.4010
0.7512 0.4278 0.0664
0.9721 0.6908 0.0261
0.5722 0.9336 0.2488
0.2665 0.3123 0.5990
0.4278 0.0664 0.7512
0.0261 0.9721 0.6908
0.9336 0.2488 0.5722
0.3602 0.3532 0.0339
0.5990 0.2665 0.3123
0.3532 0.0339 0.3602
0.3123 0.5990 0.2665
0.6398 0.6468 0.9661
0.0279 0.3092 0.9739
0.6877 0.4010 0.7335
0.6908 0.0261 0.9721
0.0664 0.7512 0.4278
0.6468 0.9661 0.6398
0.3092 0.9739 0.0279
0.9661 0.6398 0.6468
0.9739 0.0279 0.3092
0.0339 0.3602 0.3532
0.9009 0.1248 0.7220
0.0991 0.8752 0.2780
0.3898 0.5601 0.7953
0.8752 0.2780 0.0991
0.2780 0.0991 0.8752
0.1248 0.7220 0.9009
0.7220 0.9009 0.1248
0.6102 0.4399 0.2047
0.2047 0.6102 0.4399
0.7953 0.3898 0.5601
0.4399 0.2047 0.6102
0.5601 0.7953 0.3898
0.5403 0.9464 0.7647
0.4597 0.0536 0.2353
0.9464 0.7647 0.5403
0.2353 0.4597 0.0536
0.0536 0.2353 0.4597
0.7647 0.5403 0.9464
```

Output
crystal system: trigonal
density: 4.08 g cm⁻³
density of states at the Fermi level: 0.00 states/eV/atom

***

No. 2
DFT (PBE-GGA) results for an optimized crystal structure of Zn6SiO6.

POSCAR file:
```
Zn6SiO6
1.0
5.7179 0.0000 0.0000
0.0000 5.7179 0.0000
0.0000 0.0000 5.7179
O Zn Si
6 6 1
direct
0.2534 0.0000 0.5000
0.0000 0.5000 0.7466
0.5000 0.7466 0.0000
0.0000 0.5000 0.2534
0.5000 0.2534 0.0000
0.7466 0.0000 0.5000
0.0000 0.2481 0.5000
0.2481 0.5000 0.0000
0.7519 0.5000 0.0000
0.0000 0.7519 0.5000
0.5000 0.0000 0.2481
0.5000 0.0000 0.7519
0.0000 0.0000 0.0000
```

Output
crystal system: cubic
density: 4.59 g cm⁻³
density of states at the Fermi level: 0.24 states/eV/atom

***

No. 3
DFT (PBE-GGA) results for an optimized crystal structure of Zn3SiO3.

POSCAR file:
```
Zn3SiO3
1.0
5.7547 0.0000 0.0000
0.0000 5.7547 0.0000
0.0000 0.0000 5.7547
Zn O Si
6 6 2
direct
0.0000 0.5000 0.7500
0.0000 0.5000 0.2500
0.2500 0.0000 0.5000
0.5000 0.2500 0.0000
0.5000 0.7500 0.0000
0.7500 0.0000 0.5000
0.7500 0.5000 0.0000
0.0000 0.2500 0.5000
0.5000 0.0000 0.7500
0.0000 0.7500 0.5000
0.5000 0.0000 0.2500
0.2500 0.5000 0.0000
0.0000 0.0000 0.0000
0.5000 0.5000 0.5000
```

Output
crystal system: cubic
density: 4.75 g cm⁻³
density of states at the Fermi level: 0.25 states/eV/atom

***

No. 4
DFT (PBE-GGA) results for an optimized crystal structure of Zn2SiO4.

POSCAR file:
```
Zn2SiO4
1.0
-1.5364 4.4473 -0.9433
-3.4681 -1.7904 -2.7921
0.1127 -1.5009 4.9464
Si Zn O
1 2 4
direct
0.0000 0.0001 0.0001
0.2500 0.7501 0.5001
0.7500 0.2501 0.5001
0.6798 0.0780 0.7578
0.0780 0.6798 0.7578
0.3203 0.3203 0.2422
0.9219 0.9220 0.2422
```

Output
crystal system: tetragonal
density: 4.12 g cm⁻³
density of states at the Fermi level: 0.00 states/eV/atom

***

no.,magnetic moment (μB per formula unit),total energy (eV per atom)
1,0.000,-6.02
2,1.916,-4.25
3,0.000,-4.07
4,0.000,-5.99